{
  "formula": "Sm2Fe5Co5",
  "functional": "PBE",
  "state": "optimized geometry",
  "cell": [[3.905, 0.000, 0.000], [0.000, 5.088, 0.000], [0.000, 0.000, 8.773]],
  "species": ["Sm", "Sm", "Fe", "Fe", "Fe", "Fe", "Fe", "Co", "Co", "Co", "Co", "Co"],
  "frac_coords": [[0.000, 0.000, 0.000], [0.000, 0.500, 0.500], [0.000, 0.000, 0.331], [0.000, 0.000, 0.669], [0.000, 0.500, 0.166], [0.000, 0.500, 0.834], [0.500, 0.000, 0.500], [0.500, 0.250, 0.250], [0.500, 0.250, 0.750], [0.500, 0.500, 0.000], [0.500, 0.750, 0.250], [0.500, 0.750, 0.750]],
  "dos_ef_per_ev_cell": 10.17,
  "energy_ev_per_atom": -7.36,
  "magmom_total_mub_per_cell": 18.76,
  "vol_a3_per_atom": 14.52
}